This record from Alexandria via LeMat-Bulk describes a relaxed structure of AcTbTl3. The functional is PBE.

The structure in CIF format:
```
data_AcTbTl3
_symmetry_space_group_name_H-M 'P 1'
_symmetry_Int_Tables_number 1
_cell_length_a 15.818
_cell_length_b 15.818
_cell_length_c 5.110
_cell_angle_alpha 90.00
_cell_angle_beta 90.00
_cell_angle_gamma 165.88
loop_
_symmetry_equiv_pos_as_xyz
'x,y,z'
loop_
_atom_site_label
_atom_site_fract_x
_atom_site_fract_y
_atom_site_fract_z
Ac1 0.079 0.921 0.750
Ac2 0.921 0.079 0.250
Tb1 0.211 0.789 0.250
Tb2 0.789 0.211 0.750
Tl1 0.310 0.690 0.250
Tl2 0.373 0.627 0.750
Tl3 0.474 0.526 0.750
Tl4 0.526 0.474 0.250
Tl5 0.627 0.373 0.250
Tl6 0.690 0.310 0.750
```

Calculated values
**SG**: Cmcm, No. 63
**DFT total energy**: -3.4456 eV per atom
**Calculated volume**: 31.2 Å³ per atom
**Density of states at the Fermi level**: 0.82 states/eV per atom
**DFT formation energy**: -0.2781 eV/atom